# 1
Computed, not measured: crystalline ReAgBi3 at its relaxed geometry at the GGA-PBEsol level of DFT.

Properties
**VASP energy**: -0.18262 Ha/atom
**Space group**: Pm-3m
**Size of the total moment**: 0.0 μB/f.u.
**ΔE_f**: 89.8 kJ per mole of atoms

Cell and atoms, written as POSCAR:
```
ReAgBi3
1.0
5.268 0.000 0.000
0.000 5.268 0.000
0.000 0.000 5.268
Re Ag Bi
1 1 3
direct
0.000 0.000 0.000
0.500 0.500 0.500
0.000 0.000 0.500
0.000 0.500 0.000
0.500 0.000 0.000
```

---

# 2
Computed, not measured: crystalline LiBe2Tc at its relaxed geometry at the GGA-PBEsol level of DFT.

Properties
**VASP energy**: -0.18680 Ha/atom
**Space group**: R-3m
**Size of the total moment**: 0.0 μB/f.u.
**ΔE_f**: 21.7 kJ per mole of atoms

Cell and atoms, written as POSCAR:
```
LiBe2Tc
1.0
1.295 0.748 8.245
-1.295 0.748 8.245
0.000 -1.495 8.245
Li Be Tc
1 2 1
direct
0.000 0.000 0.000
0.246 0.246 0.246
0.754 0.754 0.754
0.500 0.500 0.500
```

---

# 3
Computed, not measured: crystalline Li3La4 at its relaxed geometry at the GGA-PBEsol level of DFT.

Properties
**VASP energy**: -0.14035 Ha/atom
**Space group**: P6/mmm
**Size of the total moment**: 0.0 μB/f.u.
**ΔE_f**: 7.6 kJ per mole of atoms

Cell and atoms, written as POSCAR:
```
Li3La4
1.0
5.863 0.000 0.000
-2.931 5.077 0.000
0.000 0.000 6.789
Li La
3 4
direct
0.000 0.500 0.000
0.500 0.000 0.000
0.500 0.500 0.000
0.000 0.000 0.272
0.000 0.000 0.728
0.333 0.667 0.500
0.667 0.333 0.500
```

---

# 4
Computed, not measured: crystalline H2RhN at its relaxed geometry at the GGA-PBEsol level of DFT.

Properties
**VASP energy**: -0.17286 Ha/atom
**Space group**: Fm-3m
**Size of the total moment**: 0.0 μB/f.u.
**ΔE to the lowest computed polymorph**: 1.611 eV/f.u.

Cell and atoms, written as POSCAR:
```
H2RhN
1.0
0.000 2.342 2.342
2.342 0.000 2.342
2.342 2.342 0.000
H Rh N
2 1 1
direct
0.250 0.250 0.250
0.750 0.750 0.750
0.000 0.000 0.000
0.500 0.500 0.500
```

---

# 5
Computed, not measured: crystalline MgTc3Pb at its relaxed geometry at the GGA-PBEsol level of DFT.

Properties
**VASP energy**: -0.21877 Ha/atom
**Space group**: Pm-3m
**Size of the total moment**: 4.5 μB/f.u.
**ΔE_f**: 188.1 kJ per mole of atoms

Cell and atoms, written as POSCAR:
```
MgTc3Pb
1.0
4.550 0.000 0.000
0.000 4.550 0.000
0.000 0.000 4.550
Mg Tc Pb
1 3 1
direct
0.000 0.000 0.000
0.000 0.000 0.500
0.000 0.500 0.000
0.500 0.000 0.000
0.500 0.500 0.500
```

---

# 6
Computed, not measured: crystalline SbTeAu2 at its relaxed geometry at the GGA-PBEsol level of DFT.

Properties
**VASP energy**: -0.14838 Ha/atom
**Space group**: R-3m
**Size of the total moment**: 0.0 μB/f.u.
**ΔE to the lowest computed polymorph**: 0.000 eV/f.u.

Cell and atoms, written as POSCAR:
```
SbTeAu2
1.0
2.014 1.163 6.498
-2.014 1.163 6.498
0.000 -2.326 6.498
Sb Te Au
1 1 2
direct
0.000 0.000 0.000
0.500 0.500 0.500
0.252 0.252 0.252
0.748 0.748 0.748
```

---

- Look up the VASP energy of the second one.
  -0.18680 Ha/atom

---

- Look up the VASP energy of the first one.
  -0.18262 Ha/atom

---

Copy entry 1 word for word.
Computed, not measured: crystalline ReAgBi3 at its relaxed geometry at the GGA-PBEsol level of DFT.

Properties
**VASP energy**: -0.18262 Ha/atom
**Space group**: Pm-3m
**Size of the total moment**: 0.0 μB/f.u.
**ΔE_f**: 89.8 kJ per mole of atoms

Cell and atoms, written as POSCAR:
```
ReAgBi3
1.0
5.268 0.000 0.000
0.000 5.268 0.000
0.000 0.000 5.268
Re Ag Bi
1 1 3
direct
0.000 0.000 0.000
0.500 0.500 0.500
0.000 0.000 0.500
0.000 0.500 0.000
0.500 0.000 0.000
```

---

Repeat the fourth record exactly.
Computed, not measured: crystalline H2RhN at its relaxed geometry at the GGA-PBEsol level of DFT.

Properties
**VASP energy**: -0.17286 Ha/atom
**Space group**: Fm-3m
**Size of the total moment**: 0.0 μB/f.u.
**ΔE to the lowest computed polymorph**: 1.611 eV/f.u.

Cell and atoms, written as POSCAR:
```
H2RhN
1.0
0.000 2.342 2.342
2.342 0.000 2.342
2.342 2.342 0.000
H Rh N
2 1 1
direct
0.250 0.250 0.250
0.750 0.750 0.750
0.000 0.000 0.000
0.500 0.500 0.500
```